Compound: Zr2TaRh
Source: Alexandria
Functional: PBE-GGA
Structure: optimized geometry

Values from the calculation:
For the offset from the most stable computed form, the calculation gives 507 meV/atom. The calculation puts the total energy at -71.50 eV for the cell shown. As for the space group: I-42d, No. 122.

CIF file:
```
data_Zr2TaRh
_chemical_formula_sum 'Zr4 Ta2 Rh2'
_cell_length_a 7.579
_cell_length_b 7.579
_cell_length_c 6.066
_cell_angle_alpha 51.34
_cell_angle_beta 51.34
_cell_angle_gamma 90.00
_symmetry_space_group_name_H-M 'P 1'
_symmetry_Int_Tables_number 1
loop_
_symmetry_equiv_pos_as_xyz
'x,y,z'
loop_
_atom_site_label
_atom_site_fract_x
_atom_site_fract_y
_atom_site_fract_z
Rh1 0.500 0.500 0.000
Ta1 0.750 0.250 0.500
Zr1 0.375 0.406 0.750
Rh2 0.250 0.750 0.500
Zr2 0.875 0.844 0.750
Ta2 0.000 0.000 0.000
Zr3 0.594 0.125 0.250
Zr4 0.156 0.625 0.250
```

Compound: Zr2TaRh
Source: Alexandria
Functional: PBE-GGA
Structure: optimized geometry

Values from the calculation:
For the offset from the most stable computed form, the calculation gives 183 meV/atom. The calculation puts the total energy at -37.05 eV for the cell shown. As for the space group: Pm, No. 6.

CIF file:
```
data_Zr2TaRh
_chemical_formula_sum 'Zr2 Ta1 Rh1'
_cell_length_a 4.676
_cell_length_b 3.056
_cell_length_c 5.486
_cell_angle_alpha 77.08
_cell_angle_beta 90.00
_cell_angle_gamma 90.00
_symmetry_space_group_name_H-M 'P 1'
_symmetry_Int_Tables_number 1
loop_
_symmetry_equiv_pos_as_xyz
'x,y,z'
loop_
_atom_site_label
_atom_site_fract_x
_atom_site_fract_y
_atom_site_fract_z
Zr1 0.500 0.272 0.264
Rh1 0.000 0.517 0.501
Ta1 0.500 0.710 0.747
Zr2 0.000 0.001 0.988
```

Compound: ZrTaRh4
Source: Alexandria
Functional: PBE-GGA
Structure: optimized geometry

Values from the calculation:
The calculation puts the total energy at -52.02 eV for the cell shown. As for the space group: F-43m, No. 216.

CIF file:
```
data_ZrTaRh4
_chemical_formula_sum 'Zr1 Ta1 Rh4'
_cell_length_a 5.167
_cell_length_b 5.167
_cell_length_c 5.167
_cell_angle_alpha 60.00
_cell_angle_beta 60.00
_cell_angle_gamma 60.00
_symmetry_space_group_name_H-M 'P 1'
_symmetry_Int_Tables_number 1
loop_
_symmetry_equiv_pos_as_xyz
'x,y,z'
loop_
_atom_site_label
_atom_site_fract_x
_atom_site_fract_y
_atom_site_fract_z
Rh1 0.375 0.375 0.375
Ta1 0.750 0.750 0.750
Rh2 0.875 0.375 0.375
Rh3 0.375 0.875 0.375
Rh4 0.375 0.375 0.875
Zr1 0.000 0.000 0.000
```

Compound: ZrTaRh2
Source: Alexandria
Functional: PBE-GGA
Structure: optimized geometry

Values from the calculation:
The calculation puts the total energy at -37.22 eV for the cell shown. As for the space group: I4/mmm, No. 139.

CIF file:
```
data_ZrTaRh2
_chemical_formula_sum 'Zr1 Ta1 Rh2'
_cell_length_a 4.795
_cell_length_b 4.795
_cell_length_c 4.795
_cell_angle_alpha 127.35
_cell_angle_beta 127.32
_cell_angle_gamma 77.70
_symmetry_space_group_name_H-M 'P 1'
_symmetry_Int_Tables_number 1
loop_
_symmetry_equiv_pos_as_xyz
'x,y,z'
loop_
_atom_site_label
_atom_site_fract_x
_atom_site_fract_y
_atom_site_fract_z
Rh1 0.000 0.000 0.000
Zr1 0.250 0.750 0.500
Ta1 0.750 0.250 0.500
Rh2 0.500 0.500 0.000
```

Compound: Zr2TaRh
Source: Alexandria
Functional: PBE-GGA
Structure: optimized geometry

Values from the calculation:
For the offset from the most stable computed form, the calculation gives 0 meV/atom. The calculation puts the total energy at -37.78 eV for the cell shown. As for the space group: P4/mmm, No. 123.

CIF file:
```
data_Zr2TaRh
_chemical_formula_sum 'Zr2 Ta1 Rh1'
_cell_length_a 3.313
_cell_length_b 3.315
_cell_length_c 6.992
_cell_angle_alpha 90.00
_cell_angle_beta 90.00
_cell_angle_gamma 90.00
_symmetry_space_group_name_H-M 'P 1'
_symmetry_Int_Tables_number 1
loop_
_symmetry_equiv_pos_as_xyz
'x,y,z'
loop_
_atom_site_label
_atom_site_fract_x
_atom_site_fract_y
_atom_site_fract_z
Rh1 0.500 0.500 0.250
Ta1 0.500 0.500 0.750
Zr1 0.000 0.000 0.486
Zr2 0.000 0.000 0.014
```

Compound: Zr2TaRh3
Source: Alexandria
Functional: PBE-GGA
Structure: optimized geometry

Values from the calculation:
The calculation puts the total energy at -110.32 eV for the cell shown. As for the space group: Pmmn, No. 59.

CIF file:
```
data_Zr2TaRh3
_chemical_formula_sum 'Zr4 Ta2 Rh6'
_cell_length_a 3.317
_cell_length_b 4.329
_cell_length_c 14.958
_cell_angle_alpha 90.00
_cell_angle_beta 90.00
_cell_angle_gamma 90.00
_symmetry_space_group_name_H-M 'P 1'
_symmetry_Int_Tables_number 1
loop_
_symmetry_equiv_pos_as_xyz
'x,y,z'
loop_
_atom_site_label
_atom_site_fract_x
_atom_site_fract_y
_atom_site_fract_z
Zr1 0.751 0.000 0.676
Rh1 0.749 0.500 0.000
Rh2 0.749 0.000 0.138
Zr2 0.751 0.000 0.324
Ta1 0.249 0.000 0.000
Zr3 0.249 0.500 0.176
Ta2 0.751 0.500 0.500
Rh3 0.749 0.000 0.862
Rh4 0.251 0.500 0.638
Rh5 0.251 0.000 0.500
Zr4 0.249 0.500 0.824
Rh6 0.251 0.500 0.362
```

no.,energy relative to the elements (eV/atom),N(E_F) (states/eV/f.u.),M_tot (μB per cell)
1,0.137,4.8,0.00
2,-0.186,4.6,0.00
3,-0.368,6.9,0.00
4,-0.530,3.8,0.00
5,-0.369,4.7,0.00
6,-0.693,2.9,0.00